Computed, not measured: crystalline RbLuPd at its relaxed geometry at the PBE level of DFT.

Values from the calculation:
Volume (Å³/cell): 94.3
Excess energy over the best structure of this formula in the dataset (meV per atom): 0.0
Magnetization (μB/f.u.): 0.00
Space-group type: F-43m

Cell and atoms, written as POSCAR:
```
RbLuPd
1.0
0.000 3.613 3.613
3.613 0.000 3.613
3.613 3.613 0.000
Rb Lu Pd
1 1 1
Direct
0.750 0.750 0.750
0.250 0.250 0.250
0.000 0.000 0.000
```